(1)
Crystalline Pm3Sm4YSe8 at its relaxed geometry. Source: Alexandria, functional PBE-GGA.

## Properties
Density of states at the Fermi level = 0.696 states/eV/atom
Space group = R-3m, No. 166
Formation energy from raw total energies = -1811 meV per atom

a = 8.3490 Å, b = 8.3425 Å, c = 8.3464 Å
α = 119.99°, β = 120.01°, γ = 90.00°
With the nearest neighbours (Å) after each atom.
Atoms (fractional coordinates):
Pm: 0.5000 0.5000 0.0000  6 Se 2.96
Pm: 0.5000 0.5000 0.5000  6 Se 2.96
Pm: 0.0000 0.5000 0.5000  6 Se 2.96
Sm: 0.5000 0.0000 0.0000  6 Se 2.98-2.99
Sm: 0.5000 0.0000 0.5000  6 Se 2.94
Sm: 0.0000 0.0000 0.0000  6 Se 2.94
Sm: 0.0000 0.0000 0.5000  6 Se 2.94
Y: 0.0000 0.5000 0.0000  6 Se 2.92
Se: 0.2471 0.7486 0.0015  1 Y 2.92, 3 Sm 2.94-2.99, 2 Pm 2.96
Se: 0.2471 0.7487 0.4943  1 Y 2.92, 3 Sm 2.94-2.98, 2 Pm 2.96
Se: 0.2492 0.2477 0.4985  3 Sm 2.94, 3 Pm 2.96
Se: 0.7544 0.7486 0.0015  1 Y 2.92, 3 Sm 2.94-2.99, 2 Pm 2.96
Se: 0.2456 0.2514 0.9985  1 Y 2.92, 3 Sm 2.94-2.99, 2 Pm 2.96
Se: 0.7508 0.7523 0.5015  3 Sm 2.94, 3 Pm 2.96
Se: 0.7529 0.2513 0.5057  1 Y 2.92, 3 Sm 2.94-2.98, 2 Pm 2.96
Se: 0.7529 0.2514 0.9985  1 Y 2.92, 3 Sm 2.94-2.99, 2 Pm 2.96



(2)
Crystalline Pm3Sn5Se12 at its relaxed geometry. Source: Alexandria, functional PBE-GGA.

## Properties
Density of states at the Fermi level = 0.333 states/eV/atom
Space group = Ia-3d, No. 230
Formation energy from raw total energies = -867 meV per atom

a = 14.6028 Å, b = 14.6028 Å, c = 14.6028 Å
α = 109.47°, β = 109.47°, γ = 109.47°
With the nearest neighbours (Å) after each atom.
Atoms (fractional coordinates):
Pm: 0.7500 0.3750 0.1250  8 Se 3.12-3.14
Pm: 0.8750 0.7500 0.1250  8 Se 3.12-3.14
Pm: 0.3750 0.7500 0.6250  8 Se 3.12-3.14
Pm: 0.2500 0.1250 0.3750  8 Se 3.12-3.14
Pm: 0.8750 0.1250 0.2500  8 Se 3.12-3.14
Pm: 0.3750 0.6250 0.2500  8 Se 3.12-3.14
Pm: 0.6250 0.3750 0.7500  8 Se 3.12-3.14
Pm: 0.1250 0.8750 0.7500  8 Se 3.12-3.14
Pm: 0.7500 0.8750 0.6250  8 Se 3.12-3.14
Pm: 0.6250 0.2500 0.3750  8 Se 3.12-3.14
Pm: 0.1250 0.2500 0.8750  8 Se 3.12-3.14
Pm: 0.2500 0.6250 0.8750  8 Se 3.12-3.14
Sn: 0.1250 0.3750 0.2500  4 Se 2.65
Sn: 0.0000 0.5000 0.0000  6 Se 2.88
Sn: 0.0000 0.0000 0.0000  6 Se 2.88
Sn: 0.3750 0.2500 0.1250  4 Se 2.65
Sn: 0.5000 0.0000 0.5000  6 Se 2.88
Sn: 0.5000 0.5000 0.0000  6 Se 2.88
Sn: 0.1250 0.7500 0.3750  4 Se 2.65
Sn: 0.7500 0.1250 0.8750  4 Se 2.65
Sn: 0.7500 0.6250 0.3750  4 Se 2.65
Sn: 0.3750 0.1250 0.7500  4 Se 2.65
Sn: 0.6250 0.8750 0.2500  4 Se 2.65
Sn: 0.5000 0.5000 0.5000  6 Se 2.88
Sn: 0.5000 0.0000 0.0000  6 Se 2.88
Sn: 0.0000 0.0000 0.5000  6 Se 2.88
Sn: 0.2500 0.3750 0.6250  4 Se 2.65
Sn: 0.2500 0.8750 0.1250  4 Se 2.65
Sn: 0.0000 0.5000 0.5000  6 Se 2.88
Sn: 0.8750 0.2500 0.6250  4 Se 2.65
Sn: 0.6250 0.7500 0.8750  4 Se 2.65
Sn: 0.8750 0.6250 0.7500  4 Se 2.65
Se: 0.7231 0.1367 0.0483  2 Sn 2.65-2.88
Se: 0.3252 0.5483 0.4116  2 Sn 2.65-2.88
Se: 0.9517 0.3633 0.2769  2 Sn 2.65-2.88
Se: 0.5483 0.2231 0.1367  2 Sn 2.65-2.88
Se: 0.5864 0.7231 0.6748  2 Sn 2.65-2.88
Se: 0.9517 0.5884 0.1748  2 Sn 2.65-2.88
Se: 0.3252 0.7769 0.4136  2 Sn 2.65-2.88
Se: 0.0884 0.9136 0.1367  2 Sn 2.65-2.88
Se: 0.5884 0.9517 0.6748  2 Sn 2.65-2.88
Se: 0.7231 0.5864 0.1748  2 Sn 2.65-2.88
Se: 0.7769 0.4517 0.3633  2 Sn 2.65-2.88
Se: 0.8252 0.9116 0.0483  2 Sn 2.65-2.88
Se: 0.1367 0.7231 0.5483  2 Sn 2.65-2.88
Se: 0.3633 0.4116 0.0864  2 Sn 2.65-2.88
Se: 0.0864 0.9116 0.3633  2 Sn 2.65-2.88
Se: 0.4136 0.1367 0.5884  2 Sn 2.65-2.88
Se: 0.0864 0.1748 0.2231  2 Sn 2.65-2.88
Se: 0.4517 0.6748 0.0884  2 Sn 2.65-2.88
Se: 0.8252 0.9136 0.2769  2 Sn 2.65-2.88
Se: 0.1367 0.4136 0.0884  2 Sn 2.65-2.88
Se: 0.3633 0.9517 0.7769  2 Sn 2.65-2.88
Se: 0.5884 0.6367 0.4136  2 Sn 2.65-2.88
Se: 0.9116 0.8252 0.5483  2 Sn 2.65-2.88
Se: 0.7769 0.3252 0.9136  2 Sn 2.65-2.88
Se: 0.4116 0.3633 0.5864  2 Sn 2.65-2.88
Se: 0.0884 0.1748 0.4517  2 Sn 2.65-2.88
Se: 0.2231 0.6748 0.0864  2 Sn 2.65-2.88
Se: 0.1748 0.0864 0.7231  2 Sn 2.65-2.88
Se: 0.6367 0.0483 0.2231  2 Sn 2.65-2.88
Se: 0.8633 0.5864 0.9116  2 Sn 2.65-2.88
Se: 0.5483 0.3252 0.9116  2 Sn 2.65-2.88
Se: 0.5864 0.8633 0.4116  2 Sn 2.65-2.88
Se: 0.9136 0.8252 0.7769  2 Sn 2.65-2.88
Se: 0.9136 0.0884 0.6367  2 Sn 2.65-2.88
Se: 0.8633 0.2769 0.4517  2 Sn 2.65-2.88
Se: 0.1748 0.0884 0.9517  2 Sn 2.65-2.88
Se: 0.6367 0.5884 0.9136  2 Sn 2.65-2.88
Se: 0.4116 0.0483 0.3252  2 Sn 2.65-2.88
Se: 0.2769 0.4136 0.8252  2 Sn 2.65-2.88
Se: 0.2231 0.5483 0.6367  2 Sn 2.65-2.88
Se: 0.9116 0.0864 0.8633  2 Sn 2.65-2.88
Se: 0.6748 0.2231 0.5864  2 Sn 2.65-2.88
Se: 0.4517 0.7769 0.8633  2 Sn 2.65-2.88
Se: 0.0483 0.4116 0.8252  2 Sn 2.65-2.88
Se: 0.4136 0.2769 0.3252  2 Sn 2.65-2.88
Se: 0.0483 0.6367 0.7231  2 Sn 2.65-2.88
Se: 0.6748 0.4517 0.5884  2 Sn 2.65-2.88
Se: 0.2769 0.8633 0.9517  2 Sn 2.65-2.88



(3)
Crystalline Pm2SnSe4 at its relaxed geometry. Source: Alexandria, functional PBE-GGA.

## Properties
Density of states at the Fermi level = 0.071 states/eV/atom
Energy relative to the lowest polymorph listed for this composition = 0.021 eV per atom
Space group = Pbam, No. 55
Formation energy from raw total energies = -1399 meV per atom

a = 4.3224 Å, b = 7.5001 Å, c = 12.2443 Å
α = 90.00°, β = 90.00°, γ = 90.00°
With the nearest neighbours (Å) after each atom.
Atoms (fractional coordinates):
Pm: 0.5000 0.9154 0.8247  6 Se 2.89-3.06
Pm: 0.5000 0.0846 0.1753  6 Se 2.89-3.06
Pm: 0.5000 0.4154 0.6753  6 Se 2.89-3.06
Pm: 0.5000 0.5846 0.3247  6 Se 2.89-3.06
Sn: 0.0000 0.0000 0.5000  6 Se 2.94-2.96
Sn: 0.0000 0.5000 0.0000  6 Se 2.94-2.96
Se: 0.0000 0.6501 0.7785  1 Sn 2.94, 4 Pm 2.99-3.06
Se: 0.0000 0.3499 0.2215  1 Sn 2.94, 4 Pm 2.99-3.06
Se: 0.0000 0.1501 0.7215  1 Sn 2.94, 4 Pm 2.99-3.06
Se: 0.0000 0.8499 0.2785  1 Sn 2.94, 4 Pm 2.99-3.06
Se: 0.5000 0.7379 0.5412  2 Pm 2.89-2.92, 2 Sn 2.96
Se: 0.5000 0.2621 0.4588  2 Pm 2.89-2.92, 2 Sn 2.96
Se: 0.5000 0.7621 0.0412  2 Pm 2.89-2.92, 2 Sn 2.96
Se: 0.5000 0.2379 0.9588  2 Pm 2.89-2.92, 2 Sn 2.96



(4)
Crystalline PmSnSe at its relaxed geometry. Source: Alexandria, functional PBE-GGA.

## Properties
Density of states at the Fermi level = 0.609 states/eV/atom
Energy relative to the lowest polymorph listed for this composition = 0.537 eV per atom
Space group = Amm2, No. 38
Formation energy from raw total energies = -702 meV per atom

a = 3.7863 Å, b = 4.0251 Å, c = 13.1421 Å
α = 90.00°, β = 90.00°, γ = 118.06°
With the nearest neighbours (Å) after each atom.
Atoms (fractional coordinates):
Pm: 0.5156 0.0312 0.0000  6 Se 2.92-2.93
Pm: 0.3852 0.7704 0.5000  6 Sn 3.21-3.35
Sn: 0.6872 0.3743 0.3186  2 Se 3.02, 3 Pm 3.21-3.35
Sn: 0.6872 0.3743 0.6814  2 Se 3.02, 3 Pm 3.21-3.35
Se: 0.1958 0.3915 0.8605  3 Pm 2.92-2.93, 2 Sn 3.02
Se: 0.1958 0.3915 0.1395  3 Pm 2.92-2.93, 2 Sn 3.02



(5)
Crystalline Pm7SnSe5 at its relaxed geometry. Source: Alexandria, functional PBE-GGA.

## Properties
Density of states at the Fermi level = 0.627 states/eV/atom
Space group = Cmcm, No. 63
Formation energy from raw total energies = -1552 meV per atom

a = 4.2480 Å, b = 7.1707 Å, c = 24.8629 Å
α = 90.01°, β = 90.00°, γ = 107.23°
With the nearest neighbours (Å) after each atom.
Atoms (fractional coordinates):
Pm: 0.4721 0.9443 0.2500  2 Se 2.88, 2 Sn 3.12
Pm: 0.5284 0.0568 0.7500  2 Se 2.88, 2 Sn 3.12
Pm: 0.6376 0.2752 0.0367  6 Se 2.89-2.98
Pm: 0.3629 0.7258 0.9633  6 Se 2.89-2.98
Pm: 0.3630 0.7260 0.5367  6 Se 2.89-2.98
Pm: 0.6376 0.2752 0.4633  6 Se 2.89-2.98
Pm: 0.1837 0.3674 0.1774  3 Se 2.91-2.96, 2 Sn 3.24
Pm: 0.8169 0.6338 0.8226  3 Se 2.91-2.96, 2 Sn 3.24
Pm: 0.8169 0.6338 0.6774  3 Se 2.91-2.96, 2 Sn 3.24
Pm: 0.1836 0.3673 0.3226  3 Se 2.91-2.96, 2 Sn 3.24
Pm: 0.9059 0.8118 0.1145  5 Se 2.95-3.13
Pm: 0.0948 0.1896 0.8853  5 Se 2.95-3.13
Pm: 0.0948 0.1896 0.6147  5 Se 2.95-3.13
Pm: 0.9057 0.8115 0.3853  5 Se 2.95-3.13
Sn: 0.8048 0.6097 0.2500  6 Pm 3.12-3.24
Sn: 0.1957 0.3914 0.7500  6 Pm 3.12-3.24
Se: 0.0003 0.0006 0.0000  6 Pm 2.98-3.13
Se: 0.7262 0.4524 0.9286  6 Pm 2.91-2.99
Se: 0.2743 0.5487 0.0714  6 Pm 2.91-2.99
Se: 0.5473 0.0945 0.3582  6 Pm 2.88-2.96
Se: 0.4533 0.9066 0.6419  6 Pm 2.88-2.96
Se: 0.0003 0.0006 0.5000  6 Pm 2.98-3.13
Se: 0.2744 0.5487 0.4287  6 Pm 2.91-2.99
Se: 0.7262 0.4525 0.5714  6 Pm 2.91-2.99
Se: 0.4532 0.9064 0.8582  6 Pm 2.88-2.96
Se: 0.5473 0.0947 0.1418  6 Pm 2.88-2.96



(6)
Crystalline Pm6Sn3Se at its relaxed geometry. Source: Alexandria, functional PBE-GGA.

## Properties
Density of states at the Fermi level = 1.089 states/eV/atom
Space group = Cmc2_1, No. 36
Formation energy from raw total energies = -698 meV per atom

a = 7.5168 Å, b = 9.6253 Å, c = 9.6253 Å
α = 101.29°, β = 90.00°, γ = 90.00°
With the nearest neighbours (Å) after each atom.
Atoms (fractional coordinates):
Pm: 0.1763 0.7003 0.6258  4 Sn 3.18-3.21
Pm: 0.6763 0.6258 0.7003  4 Sn 3.18-3.21
Pm: 0.1920 0.4207 0.9037  1 Se 2.91, 3 Sn 3.17-3.20
Pm: 0.6920 0.9037 0.4207  1 Se 2.91, 3 Sn 3.17-3.20
Pm: 0.2570 0.0067 0.9933  2 Se 2.97-3.00, 2 Sn 3.19
Pm: 0.6496 0.2421 0.7579  1 Se 2.89, 3 Sn 3.17-3.22
Pm: 0.1496 0.7579 0.2421  1 Se 2.89, 3 Sn 3.17-3.22
Pm: 0.7570 0.9933 0.0067  2 Se 2.97-3.00, 2 Sn 3.19
Pm: 0.1920 0.0963 0.5793  1 Se 2.91, 3 Sn 3.17-3.20
Pm: 0.6920 0.5793 0.0963  1 Se 2.91, 3 Sn 3.17-3.20
Pm: 0.1763 0.3742 0.2997  4 Sn 3.18-3.21
Pm: 0.6763 0.2997 0.3742  4 Sn 3.18-3.21
Sn: 0.4912 0.9255 0.7133  7 Pm 3.17-3.42
Sn: 0.9912 0.7133 0.9255  7 Pm 3.17-3.42
Sn: 0.3655 0.3994 0.6006  7 Pm 3.17-3.21
Sn: 0.8655 0.6006 0.3994  7 Pm 3.17-3.21
Sn: 0.9912 0.0745 0.2867  7 Pm 3.17-3.42
Sn: 0.4912 0.2867 0.0745  7 Pm 3.17-3.42
Se: 0.9942 0.1557 0.8443  5 Pm 2.89-3.00
Se: 0.4942 0.8443 0.1557  5 Pm 2.89-3.00



(7)
Crystalline Pm4Sn3Se at its relaxed geometry. Source: Alexandria, functional PBE-GGA.

## Properties
Density of states at the Fermi level = 0.549 states/eV/atom
Space group = Cmmm, No. 65
Formation energy from raw total energies = -940 meV per atom

a = 4.2499 Å, b = 7.7695 Å, c = 7.7695 Å
α = 107.26°, β = 90.00°, γ = 90.00°
With the nearest neighbours (Å) after each atom.
Atoms (fractional coordinates):
Pm: 0.0000 0.2369 0.2369  2 Se 3.05, 4 Sn 3.13-3.22
Pm: 0.5000 0.7564 0.2436  1 Se 3.05, 5 Sn 3.14-3.21
Pm: 0.0000 0.7631 0.7631  2 Se 3.05, 4 Sn 3.13-3.22
Pm: 0.5000 0.2436 0.7564  1 Se 3.05, 5 Sn 3.14-3.21
Sn: 0.0000 0.0000 0.5000  6 Pm 3.13-3.14
Sn: 0.5000 0.5000 0.5000  6 Pm 3.21-3.22
Sn: 0.0000 0.5000 0.0000  6 Pm 3.13-3.14
Se: 0.5000 0.0000 0.0000  6 Pm 3.05



(8)
Crystalline Pm3SnSe2 at its relaxed geometry. Source: Alexandria, functional PBE-GGA.

## Properties
Density of states at the Fermi level = 0.383 states/eV/atom
Energy relative to the lowest polymorph listed for this composition = 0.000 eV per atom
Space group = C2/m, No. 12
Formation energy from raw total energies = -1509 meV per atom

a = 4.3119 Å, b = 6.1056 Å, c = 7.4644 Å
α = 114.14°, β = 106.80°, γ = 90.00°
With the nearest neighbours (Å) after each atom.
Atoms (fractional coordinates):
Pm: 0.5000 0.5000 0.0000  4 Se 3.02-3.04, 2 Sn 3.05
Pm: 0.1705 0.1720 0.3441  4 Se 3.01-3.05, 2 Sn 3.09-3.10
Pm: 0.8295 0.8280 0.6559  4 Se 3.01-3.05, 2 Sn 3.09-3.10
Sn: 0.5000 0.0000 0.0000  6 Pm 3.05-3.10
Se: 0.1679 0.6646 0.3292  6 Pm 3.01-3.05
Se: 0.8321 0.3354 0.6708  6 Pm 3.01-3.05